VASP calculation (PBE-GGA) on crystalline Rb2AlCF6 at its relaxed geometry.

Unit cell a=5.536 b=5.536 c=9.976 alpha=90.00 beta=90.00 gamma=90.00
Space group I4/mmm (No. 139)
Unique sites:
Rb 0.000 0.500 0.250 x4
Al 0.000 0.000 0.000 x2
C 0.000 0.000 0.500 x2
F 0.000 0.000 0.180 x4
F 0.239 0.239 0.000 x8

Results
Raw formation energy: -21.49 eV per formula unit
Magnetic moment: 1.000 μB/f.u.
Final energy: -4.76 eV/atom
N(E_F): 0.0 states/eV/cell

***

VASP calculation (PBE-GGA) on crystalline Cs2LaCd3F12 at its relaxed geometry.

Unit cell a=8.1882 b=8.1882 c=20.0738 alpha=90.00 beta=90.00 gamma=120.00
Space group R-3m (No. 166, hexagonal axes)
Unique sites:
Cs 0.0000 0.0000 0.1168 x6
La 0.0000 0.0000 0.5000 x3
Cd 0.0000 0.5000 0.0000 x9
F 0.0426 0.5213 0.1116 x18
F 0.0661 0.5330 0.3435 x18

Results
Raw formation energy: -47.24 eV per formula unit
Magnetic moment: 0.000 μB/f.u.
Final energy: -4.39 eV/atom
N(E_F): 27.7 states/eV/cell

***

VASP calculation (PBE-GGA) on crystalline CuAgF3 at its relaxed geometry.

Unit cell a=8.029 b=7.931 c=5.670 alpha=90.00 beta=134.90 gamma=90.00
Space group C2/m (No. 12)
Unique sites:
Cu 0.250 0.250 0.000 x4
Ag 0.244 0.000 0.494 x4
F 0.000 0.204 0.000 x4
F 0.000 0.208 0.500 x4
F 0.166 0.500 0.920 x4

Results
Raw formation energy: -6.53 eV per formula unit
Relative energy among the computed polymorphs: 6.7 meV/atom
Magnetic moment: 0.999 μB/f.u.
Final energy: -3.82 eV/atom
N(E_F): 1.2 states/eV/cell

***

VASP calculation (PBE-GGA) on crystalline Mn2Cd2Rh at its relaxed geometry.

Unit cell a=3.117 b=3.117 c=16.733 alpha=90.00 beta=90.00 gamma=90.00
Space group I4/mmm (No. 139)
Unique sites:
Mn 0.000 0.500 0.250 x4
Cd 0.000 0.000 0.105 x4
Rh 0.000 0.000 0.500 x2

Results
E_form: 0.43 eV/atom
Relative energy among the computed polymorphs: 13.2 meV/atom
Magnetic moment: 0.000 μB/f.u.
Final energy: -5.07 eV/atom
N(E_F): 8.9 states/eV/cell

***

- Look up the final energy of the third one.
  -3.82 eV/atom